VASP calculation (GGA-PBE) on a geometry-optimized YGa2Ir2 structure.

Unit cell a=5.8506 b=5.8506 c=5.8506 alpha=137.42 beta=137.42 gamma=61.80
With the nearest neighbours (Å) after each atom.
Atoms (fractional coordinates):
1 Y 0.0000 0.0000 0.0000  8 Ga 3.25, 8 Ir 3.29
2 Ga 0.3765 0.3765 0.0000  4 Ir 2.48, 1 Ga 2.48
3 Ga 0.6235 0.6235 0.0000  4 Ir 2.48, 1 Ga 2.48
4 Ir 0.2500 0.7500 0.5000  4 Ga 2.48
5 Ir 0.7500 0.2500 0.5000  4 Ga 2.48

Values from the calculation:
Its density of states at the Fermi level is 0.468 states/eV per atom. The total energy comes out at -33.7 eV/f.u. As for the energy of formation from the pure elements: -0.698 eV/atom.